[1]
Entry from Alexandria: crystalline Cs3SrIn3I8 at its relaxed geometry (PBE).

Properties
calculated total energy = -42.01 eV/f.u.
mass density = 3.78 g/cm³
formation energy from raw total energies = -1143 meV/atom

Unit cell a=10.243 b=10.243 c=10.704 alpha=118.60 beta=90.00 gamma=120.00
Fractional coordinates of all 15 atoms:
Cs (0.000, 0.000, 0.000)
Cs (0.000, 0.500, 0.000)
Cs (0.500, 0.500, 0.000)
Sr (0.000, 0.000, 0.500)
In (0.500, 0.000, 0.500)
In (0.500, 0.500, 0.500)
In (0.000, 0.500, 0.500)
I (0.259, 0.518, 0.278)
I (0.741, 0.482, 0.722)
I (0.775, 0.550, 0.292)
I (0.225, 0.450, 0.708)
I (0.776, 0.018, 0.293)
I (0.224, 0.982, 0.707)
I (0.242, 0.018, 0.293)
I (0.758, 0.982, 0.707)

[2]
Entry from Alexandria: crystalline ScV2Fe2 at its relaxed geometry (PBE).

Properties
formation energy = 0.0323 eV per atom
calculated total energy = -41.33 eV/f.u.
mass density = 6.24 g/cm³
energy above the lowest structure with this stoichiometry = 136 meV/atom

Unit cell a=7.018 b=7.018 c=2.794 alpha=90.00 beta=90.00 gamma=90.00
Fractional coordinates of all 10 atoms:
Sc (0.000, 0.000, 0.000)
Sc (0.500, 0.500, 0.000)
Fe (0.365, 0.865, 0.000)
Fe (0.865, 0.635, 0.000)
Fe (0.635, 0.135, 0.000)
Fe (0.135, 0.365, 0.000)
V (0.151, 0.651, 0.500)
V (0.651, 0.849, 0.500)
V (0.849, 0.349, 0.500)
V (0.349, 0.151, 0.500)